[1]
VASP calculation (PBE) on an optimized crystal structure of NbGeSe4.

Values from the calculation:
* formation energy (no corrections): -211 kJ/mol of formula units

```
NbGeSe4
1.0
5.7902 0.0000 0.0000
0.0000 5.7902 0.0000
0.0000 0.0000 11.0006
Nb Ge Se
2 2 8
Direct
0.0000 0.0000 0.0000
0.0000 0.0000 0.5000
0.0000 0.5000 0.2500
0.5000 0.0000 0.7500
0.2489 0.2541 0.3805
0.2489 0.7459 0.1195
0.2541 0.2489 0.8805
0.2541 0.7511 0.6195
0.7459 0.2489 0.6195
0.7459 0.7511 0.8805
0.7511 0.2541 0.1195
0.7511 0.7459 0.3805
```


[2]
VASP calculation (PBE) on an optimized crystal structure of CeTh2Pt9.

Values from the calculation:
* DFT formation energy: -1.065 eV per atom
* distance to the lowest polymorph of the same formula: 0.0 meV per atom

```
CeTh2Pt9
1.0
4.2194 0.0000 0.0000
0.0000 4.2194 0.0000
0.0000 0.0000 12.6380
Ce Th Pt
1 2 9
Direct
0.0000 0.0000 0.0000
0.0000 0.0000 0.3309
0.0000 0.0000 0.6691
0.0000 0.5000 0.1643
0.0000 0.5000 0.5000
0.0000 0.5000 0.8357
0.5000 0.0000 0.1643
0.5000 0.0000 0.5000
0.5000 0.0000 0.8357
0.5000 0.5000 0.0000
0.5000 0.5000 0.3331
0.5000 0.5000 0.6669
```


Please write out number 2 again, unchanged.
VASP calculation (PBE) on an optimized crystal structure of CeTh2Pt9.

Values from the calculation:
* DFT formation energy: -1.065 eV per atom
* distance to the lowest polymorph of the same formula: 0.0 meV per atom

```
CeTh2Pt9
1.0
4.2194 0.0000 0.0000
0.0000 4.2194 0.0000
0.0000 0.0000 12.6380
Ce Th Pt
1 2 9
Direct
0.0000 0.0000 0.0000
0.0000 0.0000 0.3309
0.0000 0.0000 0.6691
0.0000 0.5000 0.1643
0.0000 0.5000 0.5000
0.0000 0.5000 0.8357
0.5000 0.0000 0.1643
0.5000 0.0000 0.5000
0.5000 0.0000 0.8357
0.5000 0.5000 0.0000
0.5000 0.5000 0.3331
0.5000 0.5000 0.6669
```